(1)
The following is a PBE calculation of a geometry-optimized Li2CaBeHg structure, from Alexandria via LeMat-Bulk.

Results
The calculated volume comes out at 38.38 A^3/atom. For the spin magnetization, the calculation gives 0.0 μB/f.u. The value obtained for the energy is -0.853 eV/atom. For the formation energy, the calculation gives 5.59 eV/f.u.

```
Li2CaBeHg
1.0
-4.975 -1.712 2.393
-0.937 -3.503 -4.455
2.787 -4.249 2.754
Be Ca Hg Li
1 1 1 2
direct
0.500 0.500 0.500
0.000 0.000 0.000
0.000 0.500 0.000
0.000 0.000 0.500
0.500 0.000 0.000
```

---

(2)
The following is a PBE calculation of a geometry-optimized TcOsS2Cl structure, from Alexandria via LeMat-Bulk.

Results
The calculated volume comes out at 20.23 A^3/atom. For the spin magnetization, the calculation gives 3.4 μB/f.u. The value obtained for the relative energy among the computed polymorphs is 255 meV/atom. The value obtained for the energy is -5.103 eV/atom. As for the energy relative to the elements, uncorrected: 1237 meV/atom.

```
TcOsS2Cl
1.0
4.596 0.000 0.000
0.000 4.596 0.000
0.000 0.000 4.787
S Os Tc Cl
2 1 1 1
direct
0.000 0.500 0.000
0.500 0.000 0.000
0.500 0.500 0.500
0.000 0.000 0.000
0.000 0.000 0.500
```

---

(3)
The following is a PBE calculation of a geometry-optimized PmPrGaGe structure, from Alexandria via LeMat-Bulk.

Results
The calculated volume comes out at 25.22 A^3/atom. For the spin magnetization, the calculation gives 0.0 μB/f.u. The value obtained for the relative energy among the computed polymorphs is 192 meV/atom. The value obtained for the energy is -4.860 eV/atom. For the formation energy, the calculation gives -2.27 eV/f.u.

```
PmPrGaGe
1.0
5.225 0.000 0.000
2.613 4.525 0.000
2.613 1.508 4.266
Pr Ge Ga Pm
1 1 1 1
direct
0.750 0.750 0.750
0.500 0.500 0.500
0.000 0.000 0.000
0.250 0.250 0.250
```